Here is an optimized crystal structure of Sc2AgAu2 from the Open Quantum Materials Database. Energies are from GGA-PBE.

## Properties
Total moment ... 0.0029 μB/atom
ρ ... 8.60 g/cm3
V ... 228.6 Å³/cell
Energy relative to the elements ... -0.31 eV/atom

abc: 4.609 4.609 10.762
angles: 90.00 90.00 90.00
Space group I4/mmm (No. 139)
Symmetry-distinct sites (fractional):
Sc  0.000  0.500  0.250
Ag  0.000  0.000  0.000
Au  0.000  0.000  0.380